DFT (PBE) results for crystalline LaPr3Dy2S6 at its relaxed geometry.

E_form (uncorrected) = -2.04 eV/atom
symmetry = C2/m
DOS(E_F) = 5.3 states/eV per cell
size of the total moment = 0.00 μB/atom

Unit cell a=7.0024 b=7.0024 c=7.0378 alpha=99.57 beta=99.57 gamma=120.11
Element x y z (fractional)
Dy (0.3330, 0.6670, 0.0000)
Dy (0.6670, 0.3330, 0.0000)
S (0.2669, 0.2669, 0.7655)
S (0.9203, 0.5755, 0.7609)
S (0.4245, 0.0797, 0.2391)
S (0.5755, 0.9203, 0.7609)
S (0.7331, 0.7331, 0.2345)
S (0.0797, 0.4245, 0.2391)
Pr (0.1624, 0.8376, 0.5000)
Pr (0.5000, 0.5000, 0.5000)
Pr (0.8376, 0.1624, 0.5000)
La (0.0000, 0.0000, 0.0000)